No. 1
Here is crystalline Nd3Ga6Pt5 at its relaxed geometry from Alexandria via LeMat-Bulk. Energies are from PBE.

a = 4.3515 Å, b = 13.1142 Å, c = 9.3665 Å
α = 90.00°, β = 90.00°, γ = 90.00°
With the nearest neighbours (Å) after each atom.
Sites, in units of the cell vectors:
Nd 0.2500 0.0523 0.2491  8 Ga 3.06-3.24, 6 Pt 3.12-3.41
Nd 0.2500 0.4477 0.2491  8 Ga 3.06-3.24, 6 Pt 3.12-3.41
Nd 0.2500 0.7500 0.2517  6 Pt 3.06-3.21, 2 Ga 3.24
Nd 0.7500 0.2500 0.7483  6 Pt 3.06-3.21, 2 Ga 3.24
Nd 0.7500 0.5523 0.7509  8 Ga 3.06-3.24, 6 Pt 3.12-3.41
Nd 0.7500 0.9477 0.7509  8 Ga 3.06-3.24, 6 Pt 3.12-3.41
Ga 0.2500 0.0711 0.9048  4 Pt 2.61-2.75, 1 Ga 2.84
Ga 0.2500 0.2500 0.0749  6 Pt 2.69-2.99, 2 Ga 2.84
Ga 0.2500 0.2500 0.4575  4 Pt 2.59-2.66
Ga 0.2500 0.4289 0.9048  4 Pt 2.61-2.75, 1 Ga 2.84
Ga 0.2500 0.5970 0.5230  4 Pt 2.58-2.67
Ga 0.2500 0.9030 0.5230  4 Pt 2.58-2.67
Ga 0.7500 0.0970 0.4770  4 Pt 2.58-2.67
Ga 0.7500 0.4030 0.4770  4 Pt 2.58-2.67
Ga 0.7500 0.5711 0.0952  4 Pt 2.61-2.75, 1 Ga 2.84
Ga 0.7500 0.7500 0.5425  4 Pt 2.59-2.66
Ga 0.7500 0.7500 0.9251  6 Pt 2.69-2.99, 2 Ga 2.84
Ga 0.7500 0.9289 0.0952  4 Pt 2.61-2.75, 1 Ga 2.84
Pt 0.2500 0.0932 0.6257  5 Ga 2.58-2.67
Pt 0.2500 0.4068 0.6257  5 Ga 2.58-2.67
Pt 0.2500 0.6336 0.9689  5 Ga 2.61-2.75, 1 Pt 2.90
Pt 0.2500 0.7500 0.7056  4 Ga 2.64-2.66, 2 Pt 2.90
Pt 0.2500 0.8664 0.9689  5 Ga 2.61-2.75, 1 Pt 2.90
Pt 0.7500 0.1336 0.0311  5 Ga 2.61-2.75, 1 Pt 2.90
Pt 0.7500 0.2500 0.2944  4 Ga 2.64-2.66, 2 Pt 2.90
Pt 0.7500 0.3664 0.0311  5 Ga 2.61-2.75, 1 Pt 2.90
Pt 0.7500 0.5932 0.3743  5 Ga 2.58-2.67
Pt 0.7500 0.9068 0.3743  5 Ga 2.58-2.67

Properties
magnetization = 0.0 μB/f.u.
E = -5.422 eV/atom

No. 2
Here is crystalline Sm5Te2Au at its relaxed geometry from Alexandria via LeMat-Bulk. Energies are from PBE.

a = 7.0407 Å, b = 7.0407 Å, c = 13.6798 Å
α = 90.00°, β = 90.00°, γ = 129.01°
With the nearest neighbours (Å) after each atom.
Sites, in units of the cell vectors:
Sm 0.0548 0.9452 0.6144  1 Au 2.95, 2 Te 3.12-3.18
Sm 0.0548 0.9452 0.8856  1 Au 2.95, 2 Te 3.12-3.18
Sm 0.3486 0.6514 0.2500  2 Te 3.11, 2 Au 3.21
Sm 0.3862 0.6138 0.5811  1 Au 3.00, 3 Te 3.19-3.26
Sm 0.3862 0.6138 0.9189  1 Au 3.00, 3 Te 3.19-3.26
Sm 0.6138 0.3862 0.0811  1 Au 3.00, 3 Te 3.19-3.26
Sm 0.6138 0.3862 0.4189  1 Au 3.00, 3 Te 3.19-3.26
Sm 0.6514 0.3486 0.7500  2 Te 3.11, 2 Au 3.21
Sm 0.9452 0.0548 0.1144  1 Au 2.95, 2 Te 3.12-3.18
Sm 0.9452 0.0548 0.3856  1 Au 2.95, 2 Te 3.12-3.18
Te 0.1919 0.8081 0.0750  6 Sm 3.11-3.26
Te 0.1919 0.8081 0.4250  6 Sm 3.11-3.26
Te 0.8081 0.1919 0.5750  6 Sm 3.11-3.26
Te 0.8081 0.1919 0.9250  6 Sm 3.11-3.26
Au 0.2353 0.7647 0.7500  6 Sm 2.95-3.21
Au 0.7647 0.2353 0.2500  6 Sm 2.95-3.21

Properties
magnetization = 0.0 μB/f.u.
uncorrected formation energy = -0.647 eV per atom
E = -4.792 eV/atom

No. 3
Here is crystalline ErH3Pt at its relaxed geometry from Alexandria via LeMat-Bulk. Energies are from PBE.

a = 5.6990 Å, b = 4.7931 Å, c = 8.0572 Å
α = 90.00°, β = 90.00°, γ = 90.00°
With the nearest neighbours (Å) after each atom.
Sites, in units of the cell vectors:
Er 0.2488 0.2500 0.0847  5 H 2.26-2.45
Er 0.2512 0.7500 0.5847  5 H 2.26-2.45
Er 0.7488 0.2500 0.4153  5 H 2.26-2.45
Er 0.7512 0.7500 0.9153  5 H 2.26-2.45
H 0.0956 0.0416 0.3602  1 Pt 1.71
H 0.0956 0.4584 0.3602  1 Pt 1.71
H 0.1114 0.7500 0.0383  1 Pt 1.68
H 0.3886 0.2500 0.5383  1 Pt 1.68
H 0.4044 0.5416 0.8602  1 Pt 1.71
H 0.4044 0.9584 0.8602  1 Pt 1.71
H 0.5956 0.0416 0.1398  1 Pt 1.71
H 0.5956 0.4584 0.1398  1 Pt 1.71
H 0.6114 0.7500 0.4617  1 Pt 1.68
H 0.8886 0.2500 0.9617  1 Pt 1.68
H 0.9044 0.5416 0.6398  1 Pt 1.71
H 0.9044 0.9584 0.6398  1 Pt 1.71
Pt 0.0517 0.7500 0.2430  3 H 1.68-1.71
Pt 0.4483 0.2500 0.7430  3 H 1.68-1.71
Pt 0.5517 0.7500 0.2570  3 H 1.68-1.71
Pt 0.9483 0.2500 0.7570  3 H 1.68-1.71

Properties
magnetization = 0.0 μB/f.u.
E = -4.697 eV/atom

no.,N(E_F) (states/eV/f.u.)
1,7.6
2,8.7
3,0.3